DFT (PBE-GGA) results for crystalline NbSiSbTe2 at its relaxed geometry.

The density is 6.07 g/cm3. The calculation puts the energy above the most stable polymorph in this dataset at 0.95 eV/f.u. For the total energy, the calculation gives -4.30 eV per atom. The total magnetization comes out at 2.20 Bohr magnetons per cell. The formation energy (no corrections) comes out at 0.87 eV per atom.

The space group is P4/mmm (No. 123) and the conventional cell measures 5.164, 5.164 and 5.112 Å, with angles of 90.00, 90.00 and 90.00 degrees. Symmetry generates all atoms from Nb at (0.000, 0.000, 0.000), Si at (0.500, 0.500, 0.500), Sb at (0.500, 0.500, 0.000) and Te at (0.000, 0.500, 0.500).